Entry 1:
VASP calculation (PBE) on an optimized crystal structure of HfCuAu. Values from VASP.

Calculated values
SG: P-6m2, No. 187
Calculated formation energy (eV per atom): -0.326
Offset from the most stable computed form (meV/atom): 25.0
Crystal system: hexagonal
Total magnetization (μB per cell): 0.00

```
&SYSTEM
  ibrav = 0, nat = 3, ntyp = 3
/
ATOMIC_SPECIES
Cu 63.55 Cu.upf
Hf 178.49 Hf.upf
Au 196.97 Au.upf
CELL_PARAMETERS angstrom
2.905 0.000 0.000
0.000 4.502 0.000
0.000 -2.251 3.899
ATOMIC_POSITIONS crystal
Cu 0.167 0.333 0.667
Hf 0.667 0.667 0.333
Au 0.166 0.000 0.000
```

---

Entry 2:
VASP calculation (PBE) on an optimized crystal structure of La3AuO. Values from VASP.

Calculated values
SG: P4mm, No. 99
E_form (uncorrected) (eV/atom): -0.8482
Offset from the most stable computed form (meV/atom): 612.2
Crystal system: tetragonal
Total magnetization (μB per cell): 1.64

```
&SYSTEM
  ibrav = 0, nat = 5, ntyp = 3
/
ATOMIC_SPECIES
La 138.91 La.upf
O 16.00 O.upf
Au 196.97 Au.upf
CELL_PARAMETERS angstrom
4.887 0.000 0.000
0.000 4.887 0.000
0.000 0.000 7.982
ATOMIC_POSITIONS crystal
La 0.000 0.000 0.286
O 0.500 0.500 0.685
Au 0.000 0.000 0.924
La 0.500 0.000 0.684
La 0.000 0.500 0.684
```

---

Entry 3:
VASP calculation (PBE) on an optimized crystal structure of In3PC. Values from VASP.

Calculated values
SG: Pm-3m, No. 221
Calculated formation energy (eV per atom): 0.792
Crystal system: cubic
Total magnetization (μB per cell): 0.00

```
&SYSTEM
  ibrav = 0, nat = 5, ntyp = 3
/
ATOMIC_SPECIES
In 114.82 In.upf
P 30.97 P.upf
C 12.01 C.upf
CELL_PARAMETERS angstrom
-3.946 1.537 2.040
-2.393 -0.912 -3.942
-0.893 -4.348 1.548
ATOMIC_POSITIONS crystal
In 0.000 0.500 0.000
In 0.500 0.000 0.000
P 0.500 0.500 0.500
C 0.000 0.000 0.000
In 0.000 0.000 0.500
```

---

Entry 4:
VASP calculation (PBE) on an optimized crystal structure of BeCu2Ag. Values from VASP.

Calculated values
SG: P4mm, No. 99
Calculated formation energy (eV per atom): 0.056
Crystal system: tetragonal
Total magnetization (μB per cell): 0.00

```
&SYSTEM
  ibrav = 0, nat = 4, ntyp = 3
/
ATOMIC_SPECIES
Cu 63.55 Cu.upf
Ag 107.87 Ag.upf
Be 9.01 Be.upf
CELL_PARAMETERS angstrom
-2.071 -0.860 1.672
-0.424 -2.210 -1.661
4.148 -3.359 3.410
ATOMIC_POSITIONS crystal
Cu 0.500 0.500 0.219
Ag 0.000 0.000 0.525
Cu 0.000 0.000 0.972
Be 0.500 0.500 0.784
```

---

Entry 5:
VASP calculation (PBE) on an optimized crystal structure of BaCu2Pt2. Values from VASP.

Calculated values
SG: I4/mmm, No. 139
Calculated formation energy (eV per atom): -0.298
Offset from the most stable computed form (meV/atom): 0.0
Crystal system: tetragonal
Total magnetization (μB per cell): 0.00

```
&SYSTEM
  ibrav = 0, nat = 5, ntyp = 3
/
ATOMIC_SPECIES
Ba 137.33 Ba.upf
Pt 195.08 Pt.upf
Cu 63.55 Cu.upf
CELL_PARAMETERS angstrom
-3.816 -1.990 0.937
1.825 -3.911 -0.878
0.481 -3.398 5.091
ATOMIC_POSITIONS crystal
Ba 0.000 0.000 0.000
Pt 0.377 0.377 0.245
Cu 0.750 0.250 0.500
Pt 0.623 0.623 0.755
Cu 0.250 0.750 0.500
```

---

Entry 6:
VASP calculation (PBE) on an optimized crystal structure of Tb4Si3Ge. Values from VASP.

Calculated values
SG: Pmm2, No. 25
E_form (uncorrected) (eV/atom): -0.8330
Crystal system: orthorhombic
Total magnetization (μB per cell): 0.00

```
&SYSTEM
  ibrav = 0, nat = 8, ntyp = 3
/
ATOMIC_SPECIES
Tb 158.93 Tb.upf
Si 28.09 Si.upf
Ge 72.64 Ge.upf
CELL_PARAMETERS angstrom
-1.560 3.390 1.068
-2.620 -2.066 2.729
7.288 0.927 7.698
ATOMIC_POSITIONS crystal
Tb 0.000 0.000 0.138
Tb 0.500 0.000 0.861
Tb 0.500 0.500 0.359
Si 0.500 0.000 0.580
Tb 0.000 0.500 0.641
Si 0.500 0.500 0.076
Si 0.000 0.500 0.924
Ge 0.000 0.000 0.420
```

---

Entry 7:
VASP calculation (PBE) on an optimized crystal structure of AcTl3Ag8. Values from VASP.

Calculated values
SG: R3m, No. 160
Calculated formation energy (eV per atom): -0.051
Crystal system: trigonal
Total magnetization (μB per cell): 0.00

```
&SYSTEM
  ibrav = 0, nat = 12, ntyp = 3
/
ATOMIC_SPECIES
Tl 204.38 Tl.upf
Ag 107.87 Ag.upf
Ac 227.00 Ac.upf
CELL_PARAMETERS angstrom
-2.485 -5.141 0.454
2.886 -4.718 -1.492
3.407 -4.086 8.513
ATOMIC_POSITIONS crystal
Tl 0.375 0.375 0.874
Ag 0.439 0.439 0.182
Ag 0.937 0.434 0.691
Tl 0.000 0.000 0.000
Ag 0.187 0.187 0.439
Ag 0.688 0.688 0.936
Ag 0.434 0.937 0.691
Ag 0.937 0.937 0.691
Ac 0.875 0.875 0.376
Ag 0.939 0.439 0.182
Tl 0.498 0.498 0.507
Ag 0.439 0.939 0.182
```

---

Entry 8:
VASP calculation (PBE) on an optimized crystal structure of LaOsRhCl2. Values from VASP.

Calculated values
SG: P4/mmm, No. 123
E_form (uncorrected) (eV/atom): -0.0180
Crystal system: tetragonal
Total magnetization (μB per cell): 0.00

```
&SYSTEM
  ibrav = 0, nat = 5, ntyp = 4
/
ATOMIC_SPECIES
Rh 102.91 Rh.upf
Cl 35.45 Cl.upf
La 138.91 La.upf
Os 190.23 Os.upf
CELL_PARAMETERS angstrom
-3.461 0.903 3.081
0.120 -4.491 1.452
3.354 1.195 3.418
ATOMIC_POSITIONS crystal
Rh 0.000 0.000 0.500
Cl 0.000 0.500 0.000
La 0.500 0.500 0.500
Os 0.000 0.000 0.000
Cl 0.500 0.000 0.000
```

---

Entry 9:
VASP calculation (PBE) on an optimized crystal structure of Zr3TlSe6. Values from VASP.

Calculated values
SG: P2_1/m, No. 11
E_form (uncorrected) (eV/atom): -1.1733
Crystal system: monoclinic
Total magnetization (μB per cell): 0.00

```
&SYSTEM
  ibrav = 0, nat = 20, ntyp = 3
/
ATOMIC_SPECIES
Tl 204.38 Tl.upf
Se 78.96 Se.upf
Zr 91.22 Zr.upf
CELL_PARAMETERS angstrom
3.794 0.000 0.000
0.000 11.511 -3.778
0.000 0.229 11.980
ATOMIC_POSITIONS crystal
Tl 0.250 0.375 0.096
Se 0.250 0.861 0.952
Se 0.750 0.169 0.546
Zr 0.750 0.358 0.472
Zr 0.750 0.730 0.297
Se 0.250 0.251 0.319
Zr 0.250 0.039 0.151
Se 0.250 0.058 0.754
Se 0.750 0.749 0.681
Se 0.250 0.468 0.637
Zr 0.750 0.961 0.849
Se 0.750 0.942 0.246
Se 0.750 0.532 0.363
Tl 0.750 0.625 0.904
Se 0.750 0.139 0.048
Zr 0.250 0.642 0.528
Zr 0.250 0.270 0.703
Se 0.250 0.831 0.454
Se 0.750 0.353 0.864
Se 0.250 0.647 0.136
```

---

Entry 10:
VASP calculation (PBE) on an optimized crystal structure of La3Tb6Sm2. Values from VASP.

Calculated values
SG: C2/m, No. 12
Calculated formation energy (eV per atom): 0.158
Crystal system: monoclinic
Total magnetization (μB per cell): 0.00

```
&SYSTEM
  ibrav = 0, nat = 11, ntyp = 3
/
ATOMIC_SPECIES
Tb 158.93 Tb.upf
Sm 150.36 Sm.upf
La 138.91 La.upf
CELL_PARAMETERS angstrom
5.455 0.000 2.309
2.727 5.808 1.154
-0.173 0.000 11.880
ATOMIC_POSITIONS crystal
Tb 0.494 0.311 0.291
Tb 0.195 0.311 0.709
Tb 0.189 0.000 0.233
Sm 0.861 0.279 0.500
Tb 0.805 0.689 0.291
Tb 0.811 0.000 0.767
La 0.317 0.367 0.000
La 0.000 0.000 0.000
La 0.683 0.633 0.000
Sm 0.139 0.721 0.500
Tb 0.506 0.689 0.709
```

---

Entry 11:
VASP calculation (PBE) on an optimized crystal structure of RbSmCuF6. Values from VASP.

Calculated values
SG: Imma, No. 74
E_form (uncorrected) (eV/atom): -2.9289
Crystal system: orthorhombic
Total magnetization (μB per cell): 2.00

```
&SYSTEM
  ibrav = 0, nat = 18, ntyp = 4
/
ATOMIC_SPECIES
F 19.00 F.upf
Sm 150.36 Sm.upf
Cu 63.55 Cu.upf
Rb 85.47 Rb.upf
CELL_PARAMETERS angstrom
-2.846 1.095 -6.936
-3.101 -7.036 0.162
-1.288 4.896 5.439
ATOMIC_POSITIONS crystal
F 0.180 0.852 0.736
F 0.820 0.616 0.264
Sm 0.500 0.000 0.500
Sm 0.000 0.000 0.500
F 0.444 0.616 0.264
F 0.878 0.128 0.756
F 0.820 0.148 0.264
Cu 0.500 0.500 0.000
F 0.556 0.384 0.736
F 0.386 0.136 0.771
Rb 0.164 0.414 0.329
F 0.614 0.864 0.229
F 0.556 0.852 0.736
F 0.180 0.384 0.736
F 0.444 0.148 0.264
Rb 0.836 0.586 0.671
Cu 0.500 0.000 0.000
F 0.122 0.872 0.244
```

---

Entry 12:
VASP calculation (PBE) on an optimized crystal structure of BeAsCl2. Values from VASP.

Calculated values
SG: Cmmm, No. 65
E_form (uncorrected) (eV/atom): -0.3872
Offset from the most stable computed form (meV/atom): 139.5
Crystal system: orthorhombic
Total magnetization (μB per cell): 0.00

```
&SYSTEM
  ibrav = 0, nat = 4, ntyp = 3
/
ATOMIC_SPECIES
Cl 35.45 Cl.upf
Be 9.01 Be.upf
As 74.92 As.upf
CELL_PARAMETERS angstrom
3.431 -0.024 0.000
-2.166 2.662 0.000
0.000 0.000 12.081
ATOMIC_POSITIONS crystal
Cl 0.000 0.000 0.871
Cl 0.000 0.000 0.629
Be 0.500 0.500 0.750
As 0.500 0.500 0.250
```

---

Please write out number 7 again, unchanged.
VASP calculation (PBE) on an optimized crystal structure of AcTl3Ag8. Values from VASP.

Calculated values
SG: R3m, No. 160
Calculated formation energy (eV per atom): -0.051
Crystal system: trigonal
Total magnetization (μB per cell): 0.00

```
&SYSTEM
  ibrav = 0, nat = 12, ntyp = 3
/
ATOMIC_SPECIES
Tl 204.38 Tl.upf
Ag 107.87 Ag.upf
Ac 227.00 Ac.upf
CELL_PARAMETERS angstrom
-2.485 -5.141 0.454
2.886 -4.718 -1.492
3.407 -4.086 8.513
ATOMIC_POSITIONS crystal
Tl 0.375 0.375 0.874
Ag 0.439 0.439 0.182
Ag 0.937 0.434 0.691
Tl 0.000 0.000 0.000
Ag 0.187 0.187 0.439
Ag 0.688 0.688 0.936
Ag 0.434 0.937 0.691
Ag 0.937 0.937 0.691
Ac 0.875 0.875 0.376
Ag 0.939 0.439 0.182
Tl 0.498 0.498 0.507
Ag 0.439 0.939 0.182
```

---

Question: Among the records above, which one has the highest total magnetization?
Answer: RbSmCuF6